A geometry-optimized AgTeIr2 structure, computed with GGA-PBE.

extended XYZ file:
```
8
Lattice="4.1386 0.0000 0.0000 0.0000 4.1386 0.0000 0.0000 0.0000 8.1050" Properties=species:S:1:pos:R:3 pbc="T T T"
Ag 0.0000 0.0000 0.0000
Ag 2.0693 2.0693 4.0525
Te 0.0000 2.0693 2.0263
Te 2.0693 0.0000 6.0788
Ir 0.0000 0.0000 4.0525
Ir 0.0000 2.0693 6.0788
Ir 2.0693 0.0000 2.0263
Ir 2.0693 2.0693 0.0000
```

## Properties
E_form (uncorrected), eV/atom: 0.5966
Crystal system: tetragonal
Total moment, μB per cell: 0.0
Energy, eV/atom: -5.33
V, A^3/atom: 17.4

=====

A geometry-optimized Ag3TeIr structure, computed with GGA-PBE.

extended XYZ file:
```
5
Lattice="5.0757 0.0000 0.0000 0.0000 5.0757 0.0000 0.0000 0.0000 5.0757" Properties=species:S:1:pos:R:3 pbc="T T T"
Ag 0.0000 0.0000 2.5379
Ag 0.0000 2.5379 0.0000
Ag 2.5379 0.0000 0.0000
Te 2.5379 2.5379 2.5379
Ir 0.0000 0.0000 0.0000
```

## Properties
E_form (uncorrected), eV/atom: 1.0543
Crystal system: cubic
E above lowest polymorph, meV per atom: 0
Total moment, μB per cell: 1.4
Energy, eV/atom: -3.06
V, A^3/atom: 26.2

=====

A geometry-optimized AgTeIr2 structure, computed with GGA-PBE.

extended XYZ file:
```
8
Lattice="2.9591 0.0000 0.0000 0.0000 5.0321 0.0000 0.0000 0.0000 9.4981" Properties=species:S:1:pos:R:3 pbc="T T T"
Ag 0.0000 0.0000 0.0000
Ag 1.4795 2.5161 0.0000
Te 0.0000 0.0000 4.7490
Te 1.4795 2.5161 4.7490
Ir 0.0000 2.5161 2.3802
Ir 0.0000 2.5161 7.1179
Ir 1.4795 0.0000 2.3802
Ir 1.4795 0.0000 7.1179
```

## Properties
E_form (uncorrected), eV/atom: 0.6999
Crystal system: orthorhombic
Total moment, μB per cell: 0.0
Energy, eV/atom: -5.23
V, A^3/atom: 17.7

=====

A geometry-optimized Ag2TeIr2 structure, computed with GGA-PBE.

extended XYZ file:
```
10
Lattice="3.5581 0.0000 0.0000 0.0000 3.5581 0.0000 0.0000 0.0000 16.4099" Properties=species:S:1:pos:R:3 pbc="T T T"
Ag 0.0000 0.0000 1.7668
Ag 0.0000 0.0000 14.6431
Ag 1.7791 1.7791 6.4382
Ag 1.7791 1.7791 9.9717
Te 0.0000 0.0000 8.2049
Te 1.7791 1.7791 0.0000
Ir 0.0000 1.7791 4.1025
Ir 0.0000 1.7791 12.3074
Ir 1.7791 0.0000 4.1025
Ir 1.7791 0.0000 12.3074
```

## Properties
E_form (uncorrected), eV/atom: 0.6178
Crystal system: tetragonal
E above lowest polymorph, meV per atom: 0
Total moment, μB per cell: 0.0
Energy, eV/atom: -4.70
V, A^3/atom: 20.8

=====

A geometry-optimized AgTe2Ir structure, computed with GGA-PBE.

extended XYZ file:
```
8
Lattice="3.6904 0.0000 0.0000 0.0000 4.5448 0.0000 0.0000 0.0000 11.7165" Properties=species:S:1:pos:R:3 pbc="T T T"
Ag 0.0000 0.0000 0.0000
Ag 1.8452 2.2724 5.8583
Te 0.0000 2.2724 1.8939
Te 0.0000 2.2724 9.8226
Te 1.8452 0.0000 3.9643
Te 1.8452 0.0000 7.7522
Ir 0.0000 0.0000 5.8583
Ir 1.8452 2.2724 0.0000
```

## Properties
E_form (uncorrected), eV/atom: 0.0841
Crystal system: orthorhombic
E above lowest polymorph, meV per atom: 203
Total moment, μB per cell: 0.0
Energy, eV/atom: -4.41
V, A^3/atom: 24.6

=====

A geometry-optimized AgTeIr2 structure, computed with GGA-PBE.

extended XYZ file:
```
12
Lattice="2.9728 0.0000 0.0000 -1.4864 2.5746 0.0000 0.0000 0.0000 28.9150" Properties=species:S:1:pos:R:3 pbc="T T T"
Ag 0.0000 0.0000 0.0000
Ag 0.0000 1.7164 19.2767
Ag 1.4864 0.8582 9.6383
Te 0.0000 0.0000 6.6236
Te 0.0000 1.7164 25.9003
Te 1.4864 0.8582 16.2620
Ir 0.0000 0.0000 14.0029
Ir 0.0000 0.0000 21.5732
Ir 0.0000 1.7164 4.3646
Ir 0.0000 1.7164 11.9349
Ir 1.4864 0.8582 2.2965
Ir 1.4864 0.8582 23.6413
```

## Properties
E_form (uncorrected), eV/atom: 0.5354
Crystal system: trigonal
Total moment, μB per cell: 1.9
Energy, eV/atom: -5.39
V, A^3/atom: 18.4

=====

A geometry-optimized AgTeIr2 structure, computed with GGA-PBE.

extended XYZ file:
```
16
Lattice="7.3851 0.0000 0.0000 0.0000 7.3851 0.0000 0.0000 0.0000 5.5371" Properties=species:S:1:pos:R:3 pbc="T T T"
Ag 0.0000 0.0000 0.0000
Ag 0.0000 3.6925 1.3843
Ag 3.6925 0.0000 4.1528
Ag 3.6925 3.6925 2.7685
Te 0.0000 0.0000 2.7685
Te 0.0000 3.6925 4.1528
Te 3.6925 0.0000 1.3843
Te 3.6925 3.6925 0.0000
Ir 1.6126 1.8463 3.4607
Ir 1.8463 5.3051 4.8450
Ir 1.8463 5.7725 2.0764
Ir 2.0800 1.8463 0.6921
Ir 5.3051 5.5388 0.6921
Ir 5.5388 1.6126 2.0764
Ir 5.5388 2.0800 4.8450
Ir 5.7725 5.5388 3.4607
```

## Properties
E_form (uncorrected), eV/atom: 0.6183
Crystal system: tetragonal
Total moment, μB per cell: 0.0
Energy, eV/atom: -5.31
V, A^3/atom: 18.9

=====

A geometry-optimized AgTe2Ir structure, computed with GGA-PBE.

extended XYZ file:
```
8
Lattice="3.2940 0.0000 0.0000 0.0000 4.2803 0.0000 0.0000 0.0000 13.0896" Properties=species:S:1:pos:R:3 pbc="T T T"
Ag 0.0000 0.0000 0.0000
Ag 1.6470 2.1401 6.5448
Te 0.0000 0.0000 4.9380
Te 0.0000 2.1401 2.0387
Te 1.6470 0.0000 8.5835
Te 1.6470 2.1401 11.4828
Ir 0.0000 2.1401 9.3371
Ir 1.6470 0.0000 2.7923
```

## Properties
E_form (uncorrected), eV/atom: 0.2397
Crystal system: orthorhombic
E above lowest polymorph, meV per atom: 359
Total moment, μB per cell: 0.0
Energy, eV/atom: -4.26
V, A^3/atom: 23.1

=====

A geometry-optimized AgTeIr2 structure, computed with GGA-PBE.

extended XYZ file:
```
12
Lattice="3.0830 0.0000 0.0000 -1.5415 2.6700 0.0000 0.0000 0.0000 25.7275" Properties=species:S:1:pos:R:3 pbc="T T T"
Ag 0.0000 0.0000 0.0000
Ag 0.0000 1.7800 17.1517
Ag 1.5415 0.8900 8.5758
Te 0.0000 0.0000 12.8638
Te 0.0000 1.7800 4.2879
Te 1.5415 0.8900 21.4396
Ir 0.0000 0.0000 6.3320
Ir 0.0000 0.0000 19.3956
Ir 0.0000 1.7800 10.8197
Ir 0.0000 1.7800 23.4836
Ir 1.5415 0.8900 2.2439
Ir 1.5415 0.8900 14.9078
```

## Properties
E_form (uncorrected), eV/atom: 0.5618
Crystal system: trigonal
Total moment, μB per cell: 0.0
Energy, eV/atom: -5.37
V, A^3/atom: 17.6

=====

A geometry-optimized AgTeIr2 structure, computed with GGA-PBE.

extended XYZ file:
```
4
Lattice="2.9457 0.0000 0.0000 0.0000 2.9457 0.0000 0.0000 0.0000 8.5146" Properties=species:S:1:pos:R:3 pbc="T T T"
Ag 0.0000 0.0000 0.0000
Te 1.4728 1.4728 5.7684
Ir 0.0000 0.0000 3.7018
Ir 1.4728 1.4728 1.9982
```

## Properties
E_form (uncorrected), eV/atom: 0.4456
Crystal system: tetragonal
Total moment, μB per cell: 0.0
Energy, eV/atom: -5.48
V, A^3/atom: 18.5

=====

A geometry-optimized AgTe2Ir structure, computed with GGA-PBE.

extended XYZ file:
```
12
Lattice="4.0492 0.0000 0.0000 -2.0246 3.5067 0.0000 0.0000 0.0000 23.9568" Properties=species:S:1:pos:R:3 pbc="T T T"
Ag 0.0000 0.0000 0.0000
Ag 0.0000 2.3378 15.9712
Ag 2.0246 1.1689 7.9856
Te 0.0000 0.0000 2.6875
Te 0.0000 0.0000 21.2693
Te 0.0000 2.3378 13.2837
Te 0.0000 2.3378 18.6588
Te 2.0246 1.1689 5.2981
Te 2.0246 1.1689 10.6731
Ir 0.0000 0.0000 11.9784
Ir 0.0000 2.3378 3.9928
Ir 2.0246 1.1689 19.9640
```

## Properties
E_form (uncorrected), eV/atom: -0.1190
Crystal system: trigonal
E above lowest polymorph, meV per atom: 0
Total moment, μB per cell: 0.0
Energy, eV/atom: -4.62
V, A^3/atom: 28.3

=====

A geometry-optimized AgTe4Ir structure, computed with GGA-PBE.

extended XYZ file:
```
6
Lattice="0.0000 4.3406 4.3406 4.3406 0.0000 4.3406 4.3406 4.3406 0.0000" Properties=species:S:1:pos:R:3 pbc="T T T"
Ag 0.0000 0.0000 0.0000
Te 3.2609 3.2609 3.2609
Te 5.4203 5.4203 3.2609
Te 5.4203 3.2609 5.4203
Te 3.2609 5.4203 5.4203
Ir 6.5109 6.5109 6.5109
```

## Properties
E_form (uncorrected), eV/atom: 1.1685
Crystal system: cubic
E above lowest polymorph, meV per atom: 1324
Total moment, μB per cell: 0.8
Energy, eV/atom: -2.88
V, A^3/atom: 27.3